This record from the Alexandria database describes Ca2FeOsO8 after structural relaxation. The functional is PBE with a Hubbard U.

Values from the calculation:
For the density of states at the Fermi level, the calculation gives 0.34 states/eV/f.u. The calculation puts the volume at 147.5 Å³/f.u. For the electronic total energy, the calculation gives -6.5791 eV/atom. The calculation puts the total magnetization at 4.00 μB/f.u.

abc: 4.668 5.051 6.300
angles: 93.67 95.34 91.10
Space group P-1 (No. 2)
Unique sites:
Ca  0.034  0.492  0.254 (multiplicity 2)
Fe  0.500  0.000  0.000 (multiplicity 1)
Os  0.500  0.000  0.500 (multiplicity 1)
O  0.251  0.901  0.232 (multiplicity 2)
O  0.276  0.858  0.711 (multiplicity 2)
O  0.299  0.307  0.528 (multiplicity 2)
O  0.375  0.407  0.996 (multiplicity 2)